A crystal of Hg2SbPb relaxed with PBEsol, computed with meta-GGA SCAN.

Properties
theoretical density: 11.80 g cm⁻³
space-group type: R-3m, No. 166
volume: 25.69 Å³ per atom
total DFT energy (no corrections): -2.28657 hartree per atom
total moment: 0.0 μB/f.u.
energy relative to the elements, uncorrected: 122.8 meV per atom

Cell lengths 3.348, 3.348, 10.760 Å; angles 81.05, 81.05, 60.00 degrees
Positions (direct):
Hg 0.251 0.251 0.246
Hg 0.749 0.749 0.754
Pb 0.500 0.500 0.500
Sb 0.000 0.000 0.000

A crystal of HgSbPb2 relaxed with PBEsol, computed with meta-GGA SCAN.

Properties
theoretical density: 11.20 g cm⁻³
space-group type: R3m, No. 160
volume: 27.32 Å³ per atom
total DFT energy (no corrections): -2.35697 hartree per atom
total moment: 0.0 μB/f.u.
energy above the lowest structure with this stoichiometry: 1.622 kcal/mol of atoms
energy relative to the elements, uncorrected: 110.7 meV per atom

Cell lengths 3.408, 3.408, 11.040 Å; angles 81.12, 81.12, 60.00 degrees
Positions (direct):
Pb 0.995 0.995 0.015
Pb 0.752 0.752 0.743
Sb 0.504 0.504 0.487
Hg 0.248 0.248 0.255

A crystal of Hg2SbPb relaxed with PBEsol, computed with meta-GGA SCAN.

Properties
theoretical density: 11.45 g cm⁻³
space-group type: Pmm2, No. 25
volume: 26.46 Å³ per atom
total DFT energy (no corrections): -2.28862 hartree per atom
total moment: 0.0 μB/f.u.
energy relative to the elements, uncorrected: 66.8 meV per atom

Cell lengths 3.208, 5.394, 6.116 Å; angles 90.00, 90.00, 90.00 degrees
Positions (direct):
Pb 0.000 0.000 0.541
Sb 0.500 0.500 0.711
Hg 0.000 0.000 0.041
Hg 0.500 0.500 0.208

A crystal of HgSb2Pb relaxed with PBEsol, computed with meta-GGA SCAN.

Properties
theoretical density: 9.98 g cm⁻³
space-group type: P2/m, No. 10
volume: 27.09 Å³ per atom
total DFT energy (no corrections): -2.00208 hartree per atom
total moment: 0.0 μB/f.u.
energy above the lowest structure with this stoichiometry: 2.196 kcal/mol of atoms
energy relative to the elements, uncorrected: 137.8 meV per atom

Cell lengths 3.145, 5.629, 6.371 Å; angles 90.00, 106.09, 90.00 degrees
Positions (direct):
Hg 0.500 0.500 0.000
Pb 0.500 0.500 0.500
Sb 0.864 0.000 0.761
Sb 0.136 0.000 0.239

A crystal of HgSb2Pb relaxed with PBEsol, computed with meta-GGA SCAN.

Properties
theoretical density: 9.87 g cm⁻³
space-group type: Imm2, No. 44
volume: 27.38 Å³ per atom
total DFT energy (no corrections): -2.00262 hartree per atom
total moment: 0.0 μB/f.u.
energy above the lowest structure with this stoichiometry: 1.854 kcal/mol of atoms
energy relative to the elements, uncorrected: 123.0 meV per atom

Cell lengths 3.938, 5.403, 6.138 Å; angles 116.11, 108.71, 90.00 degrees
Positions (direct):
Pb 0.237 0.737 0.474
Sb 0.033 0.033 0.066
Sb 0.746 0.246 0.492
Hg 0.484 0.484 0.968

A crystal of HgSb2Pb relaxed with PBEsol, computed with meta-GGA SCAN.

Properties
theoretical density: 7.59 g cm⁻³
space-group type: I-42d, No. 122
volume: 35.64 Å³ per atom
total DFT energy (no corrections): -2.00558 hartree per atom
total moment: 0.0 μB/f.u.
energy above the lowest structure with this stoichiometry: 0.000 kcal/mol of atoms
energy relative to the elements, uncorrected: 42.6 meV per atom

Cell lengths 6.580, 6.580, 8.063 Å; angles 114.08, 114.08, 90.00 degrees
Positions (direct):
Pb 0.250 0.750 0.500
Pb 0.000 0.000 0.000
Sb 0.392 0.875 0.250
Sb 0.858 0.375 0.250
Sb 0.125 0.142 0.750
Sb 0.625 0.608 0.750
Hg 0.750 0.250 0.500
Hg 0.500 0.500 0.000

A crystal of HgSbPb2 relaxed with PBEsol, computed with meta-GGA SCAN.

Properties
theoretical density: 11.12 g cm⁻³
space-group type: I4/mmm, No. 139
volume: 27.51 Å³ per atom
total DFT energy (no corrections): -2.35897 hartree per atom
total moment: 0.0 μB/f.u.
energy above the lowest structure with this stoichiometry: 0.368 kcal/mol of atoms
energy relative to the elements, uncorrected: 56.4 meV per atom

Cell lengths 5.082, 5.574, 5.082 Å; angles 62.87, 90.00, 117.13 degrees
Positions (direct):
Pb 0.250 0.500 0.250
Pb 0.750 0.500 0.750
Sb 0.500 0.000 0.500
Hg 0.000 0.000 0.000

A crystal of Hg2SbPb relaxed with PBEsol, computed with meta-GGA SCAN.

Properties
theoretical density: 11.60 g cm⁻³
space-group type: F-43m, No. 216
volume: 26.13 Å³ per atom
total DFT energy (no corrections): -2.28881 hartree per atom
total moment: 0.0 μB/f.u.
energy relative to the elements, uncorrected: 61.7 meV per atom

Cell lengths 5.287, 5.287, 5.287 Å; angles 60.00, 60.00, 60.00 degrees
Positions (direct):
Pb 0.500 0.500 0.500
Sb 0.250 0.250 0.250
Hg 0.000 0.000 0.000
Hg 0.750 0.750 0.750

A crystal of HgSbPb2 relaxed with PBEsol, computed with meta-GGA SCAN.

Properties
theoretical density: 11.21 g cm⁻³
space-group type: Cmmm, No. 65
volume: 27.29 Å³ per atom
total DFT energy (no corrections): -2.35804 hartree per atom
total moment: 0.0 μB/f.u.
energy above the lowest structure with this stoichiometry: 0.954 kcal/mol of atoms
energy relative to the elements, uncorrected: 81.7 meV per atom

Cell lengths 3.347, 3.347, 10.349 Å; angles 90.00, 90.00, 109.71 degrees
Positions (direct):
Pb 0.000 0.000 0.246
Pb 0.000 0.000 0.754
Sb 0.500 0.500 0.500
Hg 0.500 0.500 0.000

A crystal of HgSbPb2 relaxed with PBEsol, computed with meta-GGA SCAN.

Properties
theoretical density: 11.11 g cm⁻³
space-group type: I-4m2, No. 119
volume: 27.52 Å³ per atom
total DFT energy (no corrections): -2.35838 hartree per atom
total moment: 0.0 μB/f.u.
energy above the lowest structure with this stoichiometry: 0.739 kcal/mol of atoms
energy relative to the elements, uncorrected: 72.4 meV per atom

Cell lengths 4.602, 4.602, 6.132 Å; angles 112.04, 112.04, 90.00 degrees
Positions (direct):
Pb 0.000 0.000 0.000
Pb 0.750 0.250 0.500
Sb 0.500 0.500 0.000
Hg 0.250 0.750 0.500

A crystal of HgSb2Pb relaxed with PBEsol, computed with meta-GGA SCAN.

Properties
theoretical density: 10.05 g cm⁻³
space-group type: Pmmm, No. 47
volume: 26.90 Å³ per atom
total DFT energy (no corrections): -2.00178 hartree per atom
total moment: 0.0 μB/f.u.
energy above the lowest structure with this stoichiometry: 2.385 kcal/mol of atoms
energy relative to the elements, uncorrected: 146.0 meV per atom

Cell lengths 4.146, 4.719, 5.500 Å; angles 90.00, 90.00, 90.00 degrees
Positions (direct):
Hg 0.500 0.000 0.500
Pb 0.000 0.500 0.500
Sb 0.000 0.000 0.000
Sb 0.500 0.500 0.000

A crystal of Hg2SbPb relaxed with PBEsol, computed with meta-GGA SCAN.

Properties
theoretical density: 11.84 g cm⁻³
space-group type: P4mm, No. 99
volume: 25.59 Å³ per atom
total DFT energy (no corrections): -2.28670 hartree per atom
total moment: 0.0 μB/f.u.
energy relative to the elements, uncorrected: 119.2 meV per atom

Cell lengths 3.739, 3.739, 7.321 Å; angles 90.00, 90.00, 90.00 degrees
Positions (direct):
Pb 0.000 0.000 0.498
Sb 0.500 0.500 0.768
Hg 0.000 0.000 0.004
Hg 0.500 0.500 0.229

A crystal of HgSbPb2 relaxed with PBEsol, computed with meta-GGA SCAN.

Properties
theoretical density: 11.18 g cm⁻³
space-group type: R-3m, No. 166
volume: 27.37 Å³ per atom
total DFT energy (no corrections): -2.35706 hartree per atom
total moment: 0.0 μB/f.u.
energy above the lowest structure with this stoichiometry: 1.568 kcal/mol of atoms
energy relative to the elements, uncorrected: 108.4 meV per atom

Cell lengths 3.417, 3.417, 11.001 Å; angles 81.06, 81.06, 60.00 degrees
Positions (direct):
Pb 0.252 0.252 0.245
Pb 0.748 0.748 0.755
Sb 0.500 0.500 0.500
Hg 0.000 0.000 0.000

A crystal of Hg2SbPb relaxed with PBEsol, computed with meta-GGA SCAN.

Properties
theoretical density: 11.74 g cm⁻³
space-group type: Cmm2, No. 35
volume: 25.82 Å³ per atom
total DFT energy (no corrections): -2.28779 hartree per atom
total moment: 0.0 μB/f.u.
energy relative to the elements, uncorrected: 89.6 meV per atom

Cell lengths 3.354, 3.354, 9.449 Å; angles 90.00, 90.00, 103.58 degrees
Positions (direct):
Pb 0.000 0.000 0.505
Sb 0.500 0.500 0.241
Hg 0.000 0.000 0.992
Hg 0.500 0.500 0.762

A crystal of Hg2SbPb relaxed with PBEsol, computed with meta-GGA SCAN.

Properties
theoretical density: 11.65 g cm⁻³
space-group type: Immm, No. 71
volume: 26.02 Å³ per atom
total DFT energy (no corrections): -2.28763 hartree per atom
total moment: 0.0 μB/f.u.
energy relative to the elements, uncorrected: 93.9 meV per atom

Cell lengths 3.453, 5.741, 6.228 Å; angles 117.45, 106.09, 90.00 degrees
Positions (direct):
Pb 0.500 0.000 0.000
Sb 0.000 0.500 0.000
Hg 0.744 0.744 0.489
Hg 0.256 0.256 0.511